Sr2CdGaAu6 (PBE, relaxed); total DFT energy (no corrections) = -31.59 eV for the cell shown; volume = 248.3 Å³/cell; total magnetization = 0.00 μB per atom; space-group type = C2/m, No. 12; Fermi-level density of states = 0.320 states/eV/atom
1.0
6.5262 -2.7713 0.0000
6.5262 2.7713 0.0000
-6.2894 0.0000 6.8657
Sr Cd Ga Au
2 1 1 6
direct
0.2444 0.2444 0.2033
0.7556 0.7556 0.7967
0.5000 0.5000 0.0000
0.0000 0.0000 0.5000
0.2465 0.7458 0.2575
0.2488 0.2488 0.5993
0.2542 0.7535 0.7425
0.7458 0.2465 0.2575
0.7512 0.7512 0.4007
0.7535 0.2542 0.7425